The following is a DFT calculation (SCAN) of KMnP2 at its PBEsol-relaxed geometry.

a b c (Å): 3.7077 3.7077 6.9828
angles (deg): 74.60 74.60 60.00
Last column: nearest neighbours and their distance in Å.
Fractional coordinates of all 4 atoms:
K  0.5000  0.5000  0.5000  6 P 3.18
Mn  0.0000  0.0000  0.0000  6 P 2.35
P  0.2848  0.2848  0.1455  3 Mn 2.35
P  0.7152  0.7152  0.8545  3 Mn 2.35

Summary:
DFT total energy = -12.285 eV/atom
energy above the lowest structure with this stoichiometry = 0 meV/atom
formation enthalpy at 0 K = -0.44 eV per atom

The following is a DFT calculation (SCAN) of KMnP2 at its PBEsol-relaxed geometry.

a b c (Å): 3.9747 4.3145 4.3145
angles (deg): 90.00 90.00 90.00
Last column: nearest neighbours and their distance in Å.
Fractional coordinates of all 4 atoms:
K  0.5000  0.5000  0.5000  8 P 2.93, 4 Mn 3.05
Mn  0.5000  0.0000  0.0000  8 P 2.93, 4 K 3.05
P  0.0000  0.0000  0.5000  4 K 2.93, 4 Mn 2.93, 4 P 3.05
P  0.0000  0.5000  0.0000  4 K 2.93, 4 Mn 2.93, 4 P 3.05

Summary:
DFT total energy = -11.515 eV/atom
energy above the lowest structure with this stoichiometry = 771 meV/atom
formation enthalpy at 0 K = 0.33 eV per atom

The following is a DFT calculation (SCAN) of K6MnP4 at its PBEsol-relaxed geometry.

a b c (Å): 7.8019 9.7735 9.7735
angles (deg): 120.00 90.00 90.00
Last column: nearest neighbours and their distance in Å.
Fractional coordinates of all 22 atoms:
K  0.4545  0.8557  0.7115  4 P 3.17-3.30
K  0.4545  0.8557  0.1443  4 P 3.17-3.30
K  0.4545  0.2885  0.1443  4 P 3.17-3.30
K  0.9545  0.1443  0.2885  4 P 3.17-3.30
K  0.9545  0.1443  0.8557  4 P 3.17-3.30
K  0.9545  0.7115  0.8557  4 P 3.17-3.30
K  0.6369  0.4683  0.9366  5 P 3.21-3.45, 1 Mn 3.46, 2 K 3.58
K  0.6369  0.4683  0.5317  5 P 3.21-3.45, 1 Mn 3.46, 2 K 3.58
K  0.6369  0.0634  0.5317  5 P 3.21-3.45, 1 Mn 3.46, 2 K 3.58
K  0.1369  0.5317  0.0634  5 P 3.21-3.45, 1 Mn 3.46, 2 K 3.58
K  0.1369  0.5317  0.4683  5 P 3.21-3.45, 1 Mn 3.46, 2 K 3.58
K  0.1369  0.9366  0.4683  5 P 3.21-3.45, 1 Mn 3.46, 2 K 3.58
Mn  0.7457  0.6667  0.3333  4 P 2.16-2.18
Mn  0.2457  0.3333  0.6667  4 P 2.16-2.18
P  0.4683  0.6667  0.3333  1 Mn 2.16
P  0.9683  0.3333  0.6667  1 Mn 2.16
P  0.8348  0.7890  0.5780  1 Mn 2.18
P  0.8348  0.7890  0.2110  1 Mn 2.18
P  0.8348  0.4220  0.2110  1 Mn 2.18
P  0.3348  0.2110  0.4220  1 Mn 2.18
P  0.3348  0.2110  0.7890  1 Mn 2.18
P  0.3348  0.5780  0.7890  1 Mn 2.18

Summary:
DFT total energy = -10.394 eV/atom
formation enthalpy at 0 K = -0.41 eV per atom

The following is a DFT calculation (SCAN) of KMnPb2 at its PBEsol-relaxed geometry.

a b c (Å): 5.2755 5.2755 5.2755
angles (deg): 60.00 60.00 60.00
Last column: nearest neighbours and their distance in Å.
Fractional coordinates of all 4 atoms:
K  0.0000  0.0000  0.0000  8 Pb 3.23
Mn  0.5000  0.5000  0.5000  8 Pb 3.23
Pb  0.2500  0.2500  0.2500  4 Mn 3.23, 4 K 3.23
Pb  0.7500  0.7500  0.7500  4 Mn 3.23, 4 K 3.23

Summary:
DFT total energy = -44.504 eV/atom
energy above the lowest structure with this stoichiometry = 141 meV/atom
formation enthalpy at 0 K = 0.03 eV per atom